Here is Na9SnHg2 after structural relaxation from the Alexandria database. Energies are from PBE. Values from VASP.

Summary:
energy relative to the elements	-0.13	eV per atom
total energy	-1.499	eV per atom

The structure in Quantum ESPRESSO input format:
```
&SYSTEM
  ibrav = 0, nat = 12, ntyp = 3
/
ATOMIC_SPECIES
Na 22.99 Na.upf
Sn 118.71 Sn.upf
Hg 200.59 Hg.upf
CELL_PARAMETERS angstrom
-0.256 -3.941 -2.906
4.797 0.382 -0.941
2.911 -8.569 11.367
ATOMIC_POSITIONS angstrom
Na 2.271 -1.780 -1.923
Na 3.243 -4.642 1.874
Na 4.209 -7.486 5.647
Na 0.346 -3.367 0.399
Na 1.328 -6.255 4.231
Na 2.309 -9.144 8.062
Na 2.873 -1.205 1.382
Na 3.854 -4.094 5.213
Na 4.835 -6.982 9.044
Sn 0.000 0.000 0.000
Hg 0.967 -2.847 3.777
Hg 1.944 -5.722 7.590
```